1.
The following is a PBE calculation of crystalline Tb2Pm3DyS6 at its relaxed geometry, from Alexandria via LeMat-Bulk.

Geometry as POSCAR:
```
Tb2Pm3DyS6
1.0
-1.495 -1.684 6.495
6.550 0.650 -1.981
-1.831 6.671 0.099
S Tb Pm Dy
6 2 3 1
direct
0.412 0.080 0.239 S
0.920 0.588 0.761 S
0.080 0.412 0.239 S
0.252 0.252 0.760 S
0.748 0.748 0.240 S
0.588 0.920 0.761 S
0.333 0.667 0.000 Tb
0.667 0.333 0.000 Tb
0.167 0.833 0.500 Pm
0.500 0.500 0.500 Pm
0.833 0.167 0.500 Pm
0.000 0.000 0.000 Dy
```

Output
**Formation energy from raw total energies**: -2025 meV/atom

=====

2.
The following is a PBE calculation of crystalline TbPm3Dy3S8 at its relaxed geometry, from Alexandria via LeMat-Bulk.

Geometry as POSCAR:
```
TbPm3Dy3S8
1.0
-4.780 -1.689 -6.053
7.813 -0.821 -0.791
-4.053 -5.047 4.610
S Dy Pm Tb
8 3 3 1
direct
0.751 0.008 0.259 S
0.751 0.503 0.259 S
0.744 0.992 0.741 S
0.249 0.992 0.741 S
0.746 0.492 0.739 S
0.249 0.497 0.741 S
0.254 0.508 0.261 S
0.256 0.008 0.259 S
0.500 0.000 0.500 Dy
0.000 0.500 0.500 Dy
0.500 0.500 0.500 Dy
0.000 0.500 0.000 Pm
0.000 0.000 0.000 Pm
0.500 0.500 0.000 Pm
0.000 0.000 0.500 Tb
```

Output
**Formation energy from raw total energies**: -2058 meV/atom

=====

3.
The following is a PBE calculation of crystalline Tb3PmDy2S6 at its relaxed geometry, from Alexandria via LeMat-Bulk.

Geometry as POSCAR:
```
Tb3PmDy2S6
1.0
-1.779 5.254 3.980
-4.494 -2.646 -4.406
0.084 -4.974 4.659
Tb S Dy Pm
3 6 2 1
direct
0.500 0.500 0.500 Tb
0.837 0.163 0.500 Tb
0.163 0.837 0.500 Tb
0.575 0.916 0.747 S
0.084 0.425 0.253 S
0.257 0.257 0.750 S
0.916 0.575 0.747 S
0.743 0.743 0.250 S
0.425 0.084 0.253 S
0.334 0.666 0.000 Dy
0.666 0.334 0.000 Dy
0.000 0.000 0.000 Pm
```

Output
**Formation energy from raw total energies**: -2011 meV/atom